Record 1
First-principles (GGA-PBE) data for an optimized crystal structure of Zr5AlSi, as listed in Alexandria.

a = 4.3811 Å, b = 4.3811 Å, c = 7.9011 Å
α = 90.00°, β = 90.00°, γ = 90.00°
Positions (direct):
Zr 0.0000 0.0000 0.0000
Zr 0.0000 0.5000 0.2622
Zr 0.0000 0.5000 0.7378
Zr 0.5000 0.0000 0.2622
Zr 0.5000 0.0000 0.7378
Al 0.5000 0.5000 0.5000
Si 0.5000 0.5000 0.0000

Computed properties:
The value obtained for the magnetic moment is 0.0 μB/f.u. The uncorrected formation energy is -0.141 eV per atom.

=====

Record 2
First-principles (GGA-PBE) data for an optimized crystal structure of ZrAl3Si2, as listed in Alexandria.

a = 5.0729 Å, b = 5.0729 Å, c = 9.9711 Å
α = 90.00°, β = 90.00°, γ = 120.29°
Positions (direct):
Zr 0.0000 0.0000 0.0000
Zr 0.0000 0.0000 0.5000
Al 0.1664 0.3343 0.7500
Al 0.1664 0.8336 0.7500
Al 0.3343 0.1664 0.2500
Al 0.6657 0.8336 0.7500
Al 0.8336 0.1664 0.2500
Al 0.8336 0.6657 0.2500
Si 0.3313 0.6687 0.1163
Si 0.3313 0.6687 0.3837
Si 0.6687 0.3313 0.6163
Si 0.6687 0.3313 0.8837

Computed properties:
The value obtained for the magnetic moment is 0.0 μB/f.u. The uncorrected formation energy is 0.149 eV per atom.

=====

Record 3
First-principles (GGA-PBE) data for an optimized crystal structure of Zr4Al2Si, as listed in Alexandria.

a = 4.1552 Å, b = 4.1552 Å, c = 12.4883 Å
α = 90.00°, β = 90.00°, γ = 120.00°
Positions (direct):
Zr 0.0000 0.0000 0.0000
Zr 0.0000 0.0000 0.4343
Zr 0.6667 0.3333 0.2838
Zr 0.6667 0.3333 0.7792
Al 0.3333 0.6667 0.8876
Al 0.6667 0.3333 0.5536
Si 0.0000 0.0000 0.2085

Computed properties:
The value obtained for the magnetic moment is 0.7 μB/f.u. The uncorrected formation energy is 0.521 eV per atom.

=====

Which value of magnetic moment does entry 3 give?
0.7 μB/f.u.

=====

Look up the magnetic moment of the third one.
0.7 μB/f.u.

=====

The highest magnetic moment belongs to which entry?
Zr4Al2Si